The following is a PBE-GGA calculation of crystalline RbTaHg at its relaxed geometry, from the Alexandria database.

## Properties
Raw total energy = -3.132 eV per atom
M_tot = 1.18 μB/f.u.
Crystal system = hexagonal
Energy above the most stable polymorph in this dataset = 0.8921 eV per atom
DFT formation energy = 1.2421 eV per atom

Cell lengths 4.6128, 4.6128, 12.0975 Å; angles 90.00, 90.00, 120.00 degrees
Positions (direct):
Rb1 0.0000 0.0000 0.0000
Rb2 0.0000 0.0000 0.5000
Ta1 0.3333 0.6667 0.2500
Ta2 0.6667 0.3333 0.7500
Hg1 0.3333 0.6667 0.7500
Hg2 0.6667 0.3333 0.2500